[1]
Below is a relaxed CaI2OF crystal, with properties calculated at the PBE level. Values from VASP.

Structure (Quantum ESPRESSO input):
```
&SYSTEM
  ibrav = 0, nat = 5, ntyp = 4
/
ATOMIC_SPECIES
I 126.90 I.upf
Ca 40.08 Ca.upf
O 16.00 O.upf
F 19.00 F.upf
CELL_PARAMETERS angstrom
-5.493 1.568 2.666
-3.044 -1.772 -5.229
-0.363 -3.841 1.513
ATOMIC_POSITIONS angstrom
I -1.522 -0.886 -2.614
I -2.747 0.784 1.333
Ca 0.000 0.000 0.000
O -0.181 -1.921 0.756
F -4.450 -2.022 -0.525
```

The calculation puts the calculated total energy at -2.911 eV/atom. The value obtained for the uncorrected formation energy is -0.525 eV/atom. The value obtained for the polymorph energy (0 for the lowest one) is 0.000 eV per atom.

=====

[2]
Below is a relaxed CaPaI2F6 crystal, with properties calculated at the PBE level. Values from VASP.

Structure (Quantum ESPRESSO input):
```
&SYSTEM
  ibrav = 0, nat = 10, ntyp = 4
/
ATOMIC_SPECIES
Ca 40.08 Ca.upf
Pa 231.04 Pa.upf
I 126.90 I.upf
F 19.00 F.upf
CELL_PARAMETERS angstrom
-6.039 2.082 -1.622
-2.462 -2.978 5.334
-3.579 3.432 4.332
ATOMIC_POSITIONS angstrom
Ca -4.250 -0.448 1.856
Pa 0.000 0.000 0.000
I -5.146 0.003 5.761
I -6.934 2.533 2.283
F -3.290 -1.807 3.724
F -10.112 2.743 7.185
F -3.890 1.632 3.184
F -8.789 4.342 4.319
F -1.967 -0.207 0.859
F -8.190 0.904 4.860
```

The calculation puts the calculated total energy at -5.473 eV/atom. The value obtained for the uncorrected formation energy is -2.891 eV/atom.

=====

[3]
Below is a relaxed Rb2CaI2F2 crystal, with properties calculated at the PBE level. Values from VASP.

Structure (Quantum ESPRESSO input):
```
&SYSTEM
  ibrav = 0, nat = 7, ntyp = 4
/
ATOMIC_SPECIES
Rb 85.47 Rb.upf
Ca 40.08 Ca.upf
I 126.90 I.upf
F 19.00 F.upf
CELL_PARAMETERS angstrom
4.791 0.000 0.000
0.000 4.791 0.000
-2.395 -2.395 9.431
ATOMIC_POSITIONS angstrom
Rb 0.000 0.000 7.266
Rb 2.395 2.395 2.165
Ca 0.000 0.000 0.000
I 0.000 0.000 3.164
I 2.395 2.395 6.268
F 0.000 2.395 0.000
F 2.395 0.000 0.000
```

The calculation puts the calculated total energy at -3.931 eV/atom. The value obtained for the uncorrected formation energy is -2.391 eV/atom.

=====

[4]
Below is a relaxed RbCaIF2 crystal, with properties calculated at the PBE level. Values from VASP.

Structure (Quantum ESPRESSO input):
```
&SYSTEM
  ibrav = 0, nat = 5, ntyp = 4
/
ATOMIC_SPECIES
I 126.90 I.upf
Ca 40.08 Ca.upf
Rb 85.47 Rb.upf
F 19.00 F.upf
CELL_PARAMETERS angstrom
-3.973 -0.444 -2.497
-1.689 -2.998 3.221
-2.560 4.888 3.206
ATOMIC_POSITIONS angstrom
I -1.280 2.444 1.603
Ca 0.000 0.000 0.000
Rb -4.112 0.723 1.965
F -0.845 -1.499 1.611
F -1.987 -0.222 -1.248
```

The calculation puts the calculated total energy at -4.332 eV/atom. The value obtained for the uncorrected formation energy is -2.679 eV/atom.